# HfBr3N

A geometry-optimized HfBr3N structure (PBE, the Alexandria database).

## Properties
Total energy, eV/atom: -3.5970
Space group: Pm-3m
Energy above the lowest structure with this stoichiometry, eV/atom: 0.875

Cell: 4.6477 4.6477 4.6477 Å, 90.00 90.00 90.00°
Last column: nearest neighbours and their distance in Å.
Fractional coordinates of all 5 atoms:
1 Br 0.0000 0.0000 0.5000  2 N 2.32
2 N 0.0000 0.0000 0.0000  6 Br 2.32
3 Br 0.5000 0.0000 0.0000  2 N 2.32
4 Hf 0.5000 0.5000 0.5000  12 Br 3.29
5 Br 0.0000 0.5000 0.0000  2 N 2.32



# HfNiBrN2

A geometry-optimized HfNiBrN2 structure (PBE, the Alexandria database).

## Properties
Total energy, eV/atom: -5.1662
Space group: P4/mmm

Cell: 4.0897 4.1830 4.0897 Å, 90.00 90.00 90.00°
Last column: nearest neighbours and their distance in Å.
Fractional coordinates of all 5 atoms:
1 Ni 0.0000 0.5000 0.0000  2 Br 2.09
2 N 0.5000 0.0000 0.0000  2 Br 2.04
3 Hf 0.5000 0.5000 0.5000  4 Ni 2.89, 8 N 2.93
4 Br 0.0000 0.0000 0.0000  4 N 2.04, 2 Ni 2.09
5 N 0.0000 0.0000 0.5000  2 Br 2.04



# HfBrNO2

A geometry-optimized HfBrNO2 structure (PBE, the Alexandria database).

## Properties
Total energy, eV/atom: -5.2809
Space group: P4/mmm

Cell: 3.9379 3.9379 4.1691 Å, 90.00 90.00 90.00°
Last column: nearest neighbours and their distance in Å.
Fractional coordinates of all 5 atoms:
1 Br 0.0000 0.0000 0.0000  4 O 1.97, 2 N 2.08
2 O 0.5000 0.0000 0.0000  2 Br 1.97
3 O 0.0000 0.5000 0.0000  2 Br 1.97
4 Hf 0.5000 0.5000 0.5000  4 N 2.78, 8 O 2.87
5 N 0.0000 0.0000 0.5000  2 Br 2.08



# HfBrNO2

A geometry-optimized HfBrNO2 structure (PBE, the Alexandria database).

## Properties
Total energy, eV/atom: -6.6330
Space group: P4/mmm

Cell: 4.0191 4.0191 4.6669 Å, 90.00 90.00 90.00°
Last column: nearest neighbours and their distance in Å.
Fractional coordinates of all 5 atoms:
1 O 0.5000 0.0000 0.0000  2 Hf 2.01
2 O 0.0000 0.5000 0.0000  2 Hf 2.01
3 Hf 0.0000 0.0000 0.0000  4 O 2.01
4 N 0.0000 0.0000 0.5000  2 Hf 2.33
5 Br 0.5000 0.5000 0.5000  4 N 2.84, 8 O 3.08



# Rb2HfBr6N

A geometry-optimized Rb2HfBr6N structure (PBE, the Alexandria database).

## Properties
Total energy, eV/atom: -3.9500
Space group: I4/mmm

Cell: 7.9684 7.9684 8.0150 Å, 60.19 60.19 90.00°
Last column: nearest neighbours and their distance in Å.
Fractional coordinates of all 10 atoms:
1 Hf 0.0000 0.0000 0.0000  6 Br 2.62
2 Br 0.2328 0.7672 0.0000  1 Hf 2.62
3 Br 0.2302 0.2302 0.5397  1 Hf 2.62
4 Rb 0.7500 0.2500 0.5000  12 Br 3.99-4.01
5 Br 0.7672 0.7672 0.0000  1 Hf 2.62
6 Br 0.2328 0.2328 0.0000  1 Hf 2.62
7 Rb 0.2500 0.7500 0.5000  12 Br 3.99-4.01
8 N 0.5000 0.5000 0.0000  6 Br 3.01-3.08
9 Br 0.7698 0.7698 0.4603  1 Hf 2.62
10 Br 0.7672 0.2328 0.0000  1 Hf 2.62



# Hf2ReBrN

A geometry-optimized Hf2ReBrN structure (PBE, the Alexandria database).

## Properties
Total energy, eV/atom: -8.1054
Space group: P4/mmm

Cell: 4.3283 4.3283 4.6095 Å, 90.00 90.00 90.00°
Last column: nearest neighbours and their distance in Å.
Fractional coordinates of all 5 atoms:
1 Re 0.5000 0.5000 0.5000  4 Br 3.06, 8 Hf 3.16
2 Hf 0.5000 0.0000 0.0000  2 N 2.16
3 Br 0.0000 0.0000 0.5000  2 N 2.30
4 Hf 0.0000 0.5000 0.0000  2 N 2.16
5 N 0.0000 0.0000 0.0000  4 Hf 2.16, 2 Br 2.30



# HfSBrN2

A geometry-optimized HfSBrN2 structure (PBE, the Alexandria database).

## Properties
Total energy, eV/atom: -5.9525
Space group: P4/mmm
Energy above the lowest structure with this stoichiometry, eV/atom: 0.000

Cell: 4.0705 4.0705 5.6433 Å, 90.00 90.00 90.00°
Last column: nearest neighbours and their distance in Å.
Fractional coordinates of all 5 atoms:
1 N 0.0000 0.5000 0.0000  2 Hf 2.04
2 Br 0.5000 0.5000 0.5000  4 S 2.88
3 Hf 0.0000 0.0000 0.0000  4 N 2.04
4 N 0.5000 0.0000 0.0000  2 Hf 2.04
5 S 0.0000 0.0000 0.5000  2 Hf 2.82, 4 Br 2.88



# HfSBrN2

A geometry-optimized HfSBrN2 structure (PBE, the Alexandria database).

## Properties
Total energy, eV/atom: -4.9753
Space group: P4/mmm
Energy above the lowest structure with this stoichiometry, eV/atom: 0.977

Cell: 3.9438 3.9438 4.6399 Å, 90.00 90.00 90.00°
Last column: nearest neighbours and their distance in Å.
Fractional coordinates of all 5 atoms:
1 Hf 0.5000 0.5000 0.5000  4 S 2.79, 8 N 3.04
2 S 0.0000 0.0000 0.5000  2 Br 2.32
3 N 0.5000 0.0000 0.0000  2 Br 1.97
4 Br 0.0000 0.0000 0.0000  4 N 1.97
5 N 0.0000 0.5000 0.0000  2 Br 1.97



# Sr2HfBr2N2

A geometry-optimized Sr2HfBr2N2 structure (PBE, the Alexandria database).

## Properties
Total energy, eV/atom: -6.3274
Space group: I4/mmm

Cell: 4.3263 4.3263 8.9253 Å, 104.03 104.03 90.00°
Last column: nearest neighbours and their distance in Å.
Fractional coordinates of all 7 atoms:
1 Sr 0.4035 0.4035 0.8070  4 N 2.70
2 Hf 0.0000 0.0000 0.0000  4 N 2.16
3 Br 0.1715 0.1715 0.3429  1 Hf 2.88
4 Sr 0.5965 0.5965 0.1930  4 N 2.70
5 N 0.0000 0.5000 0.0000  2 Hf 2.16
6 N 0.5000 0.0000 0.0000  2 Hf 2.16
7 Br 0.8285 0.8285 0.6571  1 Hf 2.88



# HfTeBrN2

A geometry-optimized HfTeBrN2 structure (PBE, the Alexandria database).

## Properties
Total energy, eV/atom: -5.9141
Space group: P4/mmm
Energy above the lowest structure with this stoichiometry, eV/atom: 0.000

Cell: 4.1548 4.1548 6.2213 Å, 90.00 90.00 90.00°
Last column: nearest neighbours and their distance in Å.
Fractional coordinates of all 5 atoms:
1 Hf 0.0000 0.0000 0.0000  4 N 2.08
2 Te 0.0000 0.0000 0.5000  4 Br 2.94, 2 Hf 3.11
3 N 0.5000 0.0000 0.0000  2 Hf 2.08
4 N 0.0000 0.5000 0.0000  2 Hf 2.08
5 Br 0.5000 0.5000 0.5000  4 Te 2.94



# HfTe2BrN

A geometry-optimized HfTe2BrN structure (PBE, the Alexandria database).

## Properties
Total energy, eV/atom: -5.1392
Space group: P4/mmm
Energy above the lowest structure with this stoichiometry, eV/atom: 0.000

Cell: 5.7533 5.7533 4.0280 Å, 90.00 90.00 90.00°
Last column: nearest neighbours and their distance in Å.
Fractional coordinates of all 5 atoms:
1 Te 0.0000 0.5000 0.0000  2 Hf 2.88
2 Br 0.5000 0.5000 0.5000  8 Te 3.51
3 Te 0.5000 0.0000 0.0000  2 Hf 2.88
4 Hf 0.0000 0.0000 0.0000  2 N 2.01
5 N 0.0000 0.0000 0.5000  2 Hf 2.01



# HfTeBrN2

A geometry-optimized HfTeBrN2 structure (PBE, the Alexandria database).

## Properties
Total energy, eV/atom: -4.4394
Space group: P4/mmm
Energy above the lowest structure with this stoichiometry, eV/atom: 1.475

Cell: 4.1755 4.1755 5.1824 Å, 90.00 90.00 90.00°
Last column: nearest neighbours and their distance in Å.
Fractional coordinates of all 5 atoms:
1 N 0.0000 0.5000 0.0000  2 Br 2.09
2 Br 0.0000 0.0000 0.0000  4 N 2.09
3 Hf 0.5000 0.5000 0.5000  4 Te 2.95
4 N 0.5000 0.0000 0.0000  2 Br 2.09
5 Te 0.0000 0.0000 0.5000  2 Br 2.59